# 1
# HfZrScZn, relaxed, DFT PBE-GGA
# energy of formation from the pure elements = -2.45 kJ per mole of atoms
# energy = -52.42 eV per cell
data_HfZrScZn
_chemical_formula_sum 'Hf2 Zr2 Sc2 Zn2'
_cell_length_a 3.113
_cell_length_b 3.091
_cell_length_c 17.994
_cell_angle_alpha 90.00
_cell_angle_beta 90.00
_cell_angle_gamma 90.00
_symmetry_space_group_name_H-M 'A m m 2'
_symmetry_Int_Tables_number 38
_symmetry_space_group_name_Hall 'A 2 -2'
loop_
_atom_site_label
_atom_site_type_symbol
_atom_site_fract_x
_atom_site_fract_y
_atom_site_fract_z
Hf1 Hf 0.000 0.000 0.000
Zr1 Zr 0.500 0.000 0.621
Sc1 Sc 0.500 0.000 0.840
Zn1 Zn 0.000 0.000 0.237

***

# 2
# Hf2Zr4Sc5, relaxed, DFT PBE-GGA
# energy of formation from the pure elements = 15.00 kJ per mole of atoms
# energy = -168.09 eV per cell
data_Hf2Zr4Sc5
_chemical_formula_sum 'Hf4 Zr8 Sc10'
_cell_length_a 21.435
_cell_length_b 3.106
_cell_length_c 7.879
_cell_angle_alpha 90.00
_cell_angle_beta 94.87
_cell_angle_gamma 90.00
_symmetry_space_group_name_H-M 'C 1 2/m 1'
_symmetry_Int_Tables_number 12
_symmetry_space_group_name_Hall '-C 2y'
loop_
_atom_site_label
_atom_site_type_symbol
_atom_site_fract_x
_atom_site_fract_y
_atom_site_fract_z
Hf1 Hf 0.090 0.000 0.216
Zr1 Zr 0.047 0.000 0.857
Zr2 Zr 0.175 0.500 0.966
Sc1 Sc 0.000 0.500 0.500
Sc2 Sc 0.139 0.000 0.609
Sc3 Sc 0.229 0.000 0.311

***

# 3
# Hf2Zr8Sc, relaxed, DFT PBE-GGA
# energy of formation from the pure elements = 6.91 kJ per mole of atoms
# energy = -93.84 eV per cell
data_Hf2Zr8Sc
_chemical_formula_sum 'Hf2 Zr8 Sc1'
_cell_length_a 5.353
_cell_length_b 5.758
_cell_length_c 8.516
_cell_angle_alpha 92.18
_cell_angle_beta 101.68
_cell_angle_gamma 93.39
_symmetry_space_group_name_H-M 'P -1'
_symmetry_Int_Tables_number 2
_symmetry_space_group_name_Hall '-P 1'
loop_
_atom_site_label
_atom_site_type_symbol
_atom_site_fract_x
_atom_site_fract_y
_atom_site_fract_z
Hf1 Hf 0.030 0.195 0.390
Zr1 Zr 0.080 0.326 0.755
Zr2 Zr 0.219 0.865 0.968
Zr3 Zr 0.335 0.399 0.121
Zr4 Zr 0.499 0.031 0.680
Sc1 Sc 0.500 0.500 0.500

***

# 4
# HfZr12Sc2, relaxed, DFT PBE-GGA
# energy of formation from the pure elements = 16.08 kJ per mole of atoms
# energy = -122.69 eV per cell
data_HfZr12Sc2
_chemical_formula_sum 'Hf1 Zr12 Sc2'
_cell_length_a 3.158
_cell_length_b 5.196
_cell_length_c 21.863
_cell_angle_alpha 90.00
_cell_angle_beta 90.00
_cell_angle_gamma 90.00
_symmetry_space_group_name_H-M 'P m m m'
_symmetry_Int_Tables_number 47
_symmetry_space_group_name_Hall '-P 2 2'
loop_
_atom_site_label
_atom_site_type_symbol
_atom_site_fract_x
_atom_site_fract_y
_atom_site_fract_z
Hf1 Hf 0.000 0.000 0.000
Zr1 Zr 0.000 0.500 0.075
Zr2 Zr 0.000 0.500 0.436
Zr3 Zr 0.500 0.000 0.128
Zr4 Zr 0.500 0.000 0.421
Zr5 Zr 0.500 0.500 0.197
Zr6 Zr 0.500 0.500 0.325
Sc1 Sc 0.000 0.000 0.270

***

# 5
# Hf5Zr3Sc, relaxed, DFT PBE-GGA
# energy of formation from the pure elements = 0.03 kJ per mole of atoms
# energy = -163.48 eV per cell
data_Hf5Zr3Sc
_chemical_formula_sum 'Hf10 Zr6 Sc2'
_cell_length_a 8.6596
_cell_length_b 8.6596
_cell_length_c 6.2369
_cell_angle_alpha 90.00
_cell_angle_beta 90.00
_cell_angle_gamma 120.00
_symmetry_space_group_name_H-M 'P 63/m c m'
_symmetry_Int_Tables_number 193
_symmetry_space_group_name_Hall '-P 6c 2'
loop_
_atom_site_label
_atom_site_type_symbol
_atom_site_fract_x
_atom_site_fract_y
_atom_site_fract_z
Hf1 Hf 0.0000 0.3364 0.2500
Hf2 Hf 0.3333 0.6667 0.0000
Zr1 Zr 0.0000 0.3361 0.7500
Sc1 Sc 0.0000 0.0000 0.0000

***

# 6
# HfZr2Sc6, relaxed, DFT PBE-GGA
# energy of formation from the pure elements = 12.00 kJ per mole of atoms
# energy = -127.84 eV per cell
data_HfZr2Sc6
_chemical_formula_sum 'Hf2 Zr4 Sc12'
_cell_length_a 15.531
_cell_length_b 3.115
_cell_length_c 10.874
_cell_angle_alpha 90.00
_cell_angle_beta 125.22
_cell_angle_gamma 90.00
_symmetry_space_group_name_H-M 'C 1 2/m 1'
_symmetry_Int_Tables_number 12
_symmetry_space_group_name_Hall '-C 2y'
loop_
_atom_site_label
_atom_site_type_symbol
_atom_site_fract_x
_atom_site_fract_y
_atom_site_fract_z
Hf1 Hf 0.000 0.000 0.000
Zr1 Zr 0.166 0.500 0.315
Sc1 Sc 0.047 0.000 0.753
Sc2 Sc 0.116 0.500 0.556
Sc3 Sc 0.226 0.000 0.114

***

# 7
# HfZr10Sc4, relaxed, DFT PBE-GGA
# energy of formation from the pure elements = 27.64 kJ per mole of atoms
# energy = -232.93 eV per cell
data_HfZr10Sc4
_chemical_formula_sum 'Hf2 Zr20 Sc8'
_cell_length_a 10.146
_cell_length_b 10.146
_cell_length_c 7.095
_cell_angle_alpha 90.00
_cell_angle_beta 90.00
_cell_angle_gamma 90.00
_symmetry_space_group_name_H-M 'I 4/m m m'
_symmetry_Int_Tables_number 139
_symmetry_space_group_name_Hall '-I 4 2'
loop_
_atom_site_label
_atom_site_type_symbol
_atom_site_fract_x
_atom_site_fract_y
_atom_site_fract_z
Hf1 Hf 0.000 0.000 0.000
Zr1 Zr 0.000 0.214 0.289
Zr2 Zr 0.000 0.500 0.250
Sc1 Sc 0.228 0.228 0.000

***

# 8
# HfZr3Sc2, relaxed, DFT PBE-GGA
# energy of formation from the pure elements = 7.19 kJ per mole of atoms
# energy = -191.25 eV per cell
data_HfZr3Sc2
_chemical_formula_sum 'Hf4 Zr12 Sc8'
_cell_length_a 10.033
_cell_length_b 3.140
_cell_length_c 17.922
_cell_angle_alpha 90.00
_cell_angle_beta 90.00
_cell_angle_gamma 90.00
_symmetry_space_group_name_H-M 'P n m a'
_symmetry_Int_Tables_number 62
_symmetry_space_group_name_Hall '-P 2ac 2n'
loop_
_atom_site_label
_atom_site_type_symbol
_atom_site_fract_x
_atom_site_fract_y
_atom_site_fract_z
Hf1 Hf 0.218 0.250 0.165
Zr1 Zr 0.010 0.750 0.576
Zr2 Zr 0.018 0.250 0.913
Zr3 Zr 0.241 0.750 0.831
Sc1 Sc 0.015 0.250 0.738
Sc2 Sc 0.248 0.750 0.014

***

# 9
# Hf2Zr3Sc4, relaxed, DFT PBE-GGA
# energy of formation from the pure elements = 12.02 kJ per mole of atoms
# energy = -279.02 eV per cell
data_Hf2Zr3Sc4
_chemical_formula_sum 'Hf8 Zr12 Sc16'
_cell_length_a 14.555
_cell_length_b 10.533
_cell_length_c 5.501
_cell_angle_alpha 90.00
_cell_angle_beta 98.45
_cell_angle_gamma 90.00
_symmetry_space_group_name_H-M 'C 1 2/c 1'
_symmetry_Int_Tables_number 15
_symmetry_space_group_name_Hall '-C 2yc'
loop_
_atom_site_label
_atom_site_type_symbol
_atom_site_fract_x
_atom_site_fract_y
_atom_site_fract_z
Hf1 Hf 0.109 0.133 0.302
Zr1 Zr 0.000 0.115 0.750
Zr2 Zr 0.168 0.362 0.591
Sc1 Sc 0.057 0.377 0.032
Sc2 Sc 0.222 0.115 0.857

***

# 10
# Hf3Zr2Sc2, relaxed, DFT PBE-GGA
# energy of formation from the pure elements = 4.18 kJ per mole of atoms
# energy = -59.32 eV per cell
data_Hf3Zr2Sc2
_chemical_formula_sum 'Hf3 Zr2 Sc2'
_cell_length_a 3.171
_cell_length_b 7.642
_cell_length_c 7.749
_cell_angle_alpha 118.57
_cell_angle_beta 90.05
_cell_angle_gamma 101.95
_symmetry_space_group_name_H-M 'P -1'
_symmetry_Int_Tables_number 2
_symmetry_space_group_name_Hall '-P 1'
loop_
_atom_site_label
_atom_site_type_symbol
_atom_site_fract_x
_atom_site_fract_y
_atom_site_fract_z
Hf1 Hf 0.000 0.000 0.000
Hf2 Hf 0.297 0.594 0.713
Zr1 Zr 0.357 0.714 0.150
Sc1 Sc 0.073 0.144 0.432

***

# 11
# HfZr3Sc4, relaxed, DFT PBE-GGA
# energy of formation from the pure elements = -1.83 kJ per mole of atoms
# energy = -122.15 eV per cell
data_HfZr3Sc4
_chemical_formula_sum 'Hf2 Zr6 Sc8'
_cell_length_a 10.249
_cell_length_b 6.577
_cell_length_c 5.610
_cell_angle_alpha 90.00
_cell_angle_beta 90.00
_cell_angle_gamma 90.00
_symmetry_space_group_name_H-M 'P m n 21'
_symmetry_Int_Tables_number 31
_symmetry_space_group_name_Hall 'P 2ac -2'
loop_
_atom_site_label
_atom_site_type_symbol
_atom_site_fract_x
_atom_site_fract_y
_atom_site_fract_z
Hf1 Hf 0.000 0.117 0.000
Zr1 Zr 0.000 0.883 0.500
Zr2 Zr 0.250 0.117 0.675
Sc1 Sc 0.000 0.368 0.513
Sc2 Sc 0.000 0.631 0.011
Sc3 Sc 0.249 0.369 0.162

***

# 12
# Hf3ZrSc2, relaxed, DFT PBE-GGA
# energy of formation from the pure elements = 3.57 kJ per mole of atoms
# energy = -203.40 eV per cell
data_Hf3ZrSc2
_chemical_formula_sum 'Hf12 Zr4 Sc8'
_cell_length_a 3.217
_cell_length_b 16.834
_cell_length_c 10.228
_cell_angle_alpha 90.00
_cell_angle_beta 90.00
_cell_angle_gamma 90.00
_symmetry_space_group_name_H-M 'C m c m'
_symmetry_Int_Tables_number 63
_symmetry_space_group_name_Hall '-C 2c 2'
loop_
_atom_site_label
_atom_site_type_symbol
_atom_site_fract_x
_atom_site_fract_y
_atom_site_fract_z
Hf1 Hf 0.000 0.113 0.250
Hf2 Hf 0.000 0.331 0.502
Zr1 Zr 0.000 0.222 0.750
Sc1 Sc 0.000 0.000 0.000
Sc2 Sc 0.000 0.444 0.250

***

energy of number 1 (HfZrScZn)? -52.42 eV per cell

***

Which of these has the lowest energy? Hf2Zr3Sc4

***

The lowest energy of formation from the pure elements belongs to which entry? HfZrScZn

***

What is the formula in the second record? Hf2Zr4Sc5